Computed, not measured: an optimized crystal structure of VFeSb at the PBE level of DFT.

Geometry as POSCAR:
```
VFeSb
1.0
0.0000 2.8949 2.8949
2.8949 0.0000 2.8949
2.8949 2.8949 0.0000
V Fe Sb
1 1 1
direct
0.0000 0.0000 0.0000
0.2500 0.2500 0.2500
0.5000 0.5000 0.5000
```

Values from the calculation:
Formation energy (no corrections) ... -0.21 eV per atom
Energy above the most stable polymorph in this dataset ... 0.000 eV per atom
Symmetry ... F-43m